Record 1
A plane-wave DFT calculation with meta-GGA SCAN was carried out for a PBEsol-optimized structure of FePAu2O.

Geometry as POSCAR:
```
FePAu2O
1.0
4.663 0.000 0.000
0.000 4.663 0.000
0.000 0.000 3.555
Fe P Au O
1 1 2 1
direct
0.000 0.000 0.000 Fe
0.500 0.500 0.000 P
0.000 0.500 0.500 Au
0.500 0.000 0.500 Au
0.000 0.000 0.500 O
```

## Properties
* SG: No. 123
* raw formation energy: 1.77 eV per formula unit



Record 2
A plane-wave DFT calculation with meta-GGA SCAN was carried out for a PBEsol-optimized structure of FeOs2Au.

Geometry as POSCAR:
```
FeOs2Au
1.0
-1.902 1.902 3.834
1.902 -1.902 3.834
1.902 1.902 -3.834
Fe Os Au
1 2 1
direct
0.000 0.000 0.000 Fe
0.500 0.500 0.000 Os
0.750 0.250 0.500 Os
0.250 0.750 0.500 Au
```

## Properties
* relative energy among the computed polymorphs: 150 meV/atom
* formation energy: 364 meV/atom
* SG: No. 119



Record 3
A plane-wave DFT calculation with meta-GGA SCAN was carried out for a PBEsol-optimized structure of FeOs2Au.

Geometry as POSCAR:
```
FeOs2Au
1.0
4.467 -1.370 0.000
4.467 1.370 0.000
-0.829 0.000 4.609
Fe Os Au
1 2 1
direct
0.000 0.000 0.000 Fe
0.254 0.254 0.745 Os
0.510 0.510 0.545 Os
0.753 0.753 0.244 Au
```

## Properties
* relative energy among the computed polymorphs: 119 meV/atom
* formation energy: 334 meV/atom
* SG: No. 8



Record 4
A plane-wave DFT calculation with meta-GGA SCAN was carried out for a PBEsol-optimized structure of FeOsAu.

Geometry as POSCAR:
```
FeOsAu
1.0
-1.353 1.793 4.257
1.353 -1.793 4.257
1.353 1.793 -4.257
Fe Os Au
1 1 1
direct
0.000 0.000 0.000 Fe
0.625 0.625 0.000 Os
0.316 0.316 0.000 Au
```

## Properties
* relative energy among the computed polymorphs: 258 meV/atom
* formation energy: 591 meV/atom
* SG: No. 44



| no. | theoretical density (kg/m³) | magnetization (Bohr magnetons per cell) |
| --- | --- | --- |
| 1 | 10672 | 3.94 |
| 2 | 18947 | 3.25 |
| 3 | 18645 | 3.03 |
| 4 | 17819 | 0.00 |